## 1
The following is a DFT calculation (PBE-GGA) of MgTiGe2O6 after structural relaxation.

a = 8.628 Å, b = 5.342 Å, c = 12.165 Å
α = 80.44°, β = 90.00°, γ = 90.00°
Sites, in units of the cell vectors:
Mg: 0.536 0.157 0.270
Mg: 0.464 0.843 0.730
Mg: 0.036 0.343 0.730
Mg: 0.964 0.657 0.270
Ti: 0.154 0.153 0.283
Ti: 0.846 0.847 0.717
Ti: 0.654 0.347 0.717
Ti: 0.346 0.653 0.283
Ge: 0.152 0.742 0.531
Ge: 0.848 0.258 0.469
Ge: 0.349 0.287 0.904
Ge: 0.651 0.713 0.096
Ge: 0.151 0.787 0.904
Ge: 0.849 0.213 0.096
Ge: 0.348 0.242 0.531
Ge: 0.652 0.758 0.469
O: 0.349 0.279 0.385
O: 0.169 0.495 0.222
O: 0.317 0.001 0.828
O: 0.027 0.245 0.406
O: 0.973 0.755 0.594
O: 0.501 0.533 0.206
O: 0.527 0.255 0.594
O: 0.849 0.221 0.615
O: 0.202 0.419 0.590
O: 0.798 0.581 0.410
O: 0.831 0.505 0.778
O: 0.702 0.081 0.410
O: 0.151 0.779 0.385
O: 0.183 0.501 0.828
O: 0.999 0.033 0.206
O: 0.473 0.745 0.406
O: 0.683 0.999 0.172
O: 0.001 0.967 0.794
O: 0.298 0.919 0.590
O: 0.331 0.995 0.222
O: 0.499 0.467 0.794
O: 0.669 0.005 0.778
O: 0.817 0.499 0.172
O: 0.651 0.721 0.615

Space group ... P2_1/c (14)

## 2
The following is a DFT calculation (PBE-GGA) of MgTiGe2O6 after structural relaxation.

a = 6.871 Å, b = 6.871 Å, c = 5.126 Å
α = 80.72°, β = 80.72°, γ = 78.17°
Sites, in units of the cell vectors:
O: 0.348 0.851 0.378
O: 0.026 0.190 0.388
O: 0.402 0.305 0.163
O: 0.598 0.695 0.837
O: 0.974 0.810 0.612
O: 0.652 0.149 0.622
O: 0.810 0.974 0.112
O: 0.190 0.026 0.888
O: 0.695 0.598 0.337
O: 0.305 0.402 0.663
O: 0.149 0.652 0.122
O: 0.851 0.348 0.878
Ge: 0.836 0.589 0.628
Ge: 0.589 0.836 0.128
Ge: 0.164 0.411 0.372
Ge: 0.411 0.164 0.872
Mg: 0.686 0.314 0.250
Mg: 0.314 0.686 0.750
Ti: 0.899 0.101 0.750
Ti: 0.101 0.899 0.250

Space group ... C2/c (15)

Most stable one: 1, least stable one: 2.

## 1
The following is a DFT calculation (PBE-GGA) of Mg3GeP after structural relaxation.

a = 4.937 Å, b = 4.937 Å, c = 4.937 Å
α = 90.00°, β = 90.00°, γ = 90.00°
Sites, in units of the cell vectors:
Mg: 0.500 0.000 0.000
Mg: 0.000 0.000 0.500
Mg: 0.000 0.500 0.000
Ge: 0.000 0.000 0.000
P: 0.500 0.500 0.500

Space group ... Pm-3m (221)

## 2
The following is a DFT calculation (PBE-GGA) of Mg3GeP after structural relaxation.

a = 4.840 Å, b = 4.840 Å, c = 4.840 Å
α = 90.00°, β = 90.00°, γ = 90.00°
Sites, in units of the cell vectors:
Mg: 0.000 0.000 0.500
Mg: 0.500 0.000 0.000
Mg: 0.000 0.500 0.000
Ge: 0.500 0.500 0.500
P: 0.000 0.000 0.000

Space group ... Pm-3m (221)

Most stable one: 2, least stable one: 1.

## 1
The following is a DFT calculation (PBE-GGA) of Mg2GeP2 after structural relaxation.

a = 7.519 Å, b = 7.519 Å, c = 3.219 Å
α = 90.00°, β = 90.00°, γ = 90.00°
Sites, in units of the cell vectors:
Ge: 0.500 0.500 0.000
Ge: 0.000 0.000 0.000
P: 0.337 0.837 0.000
P: 0.837 0.663 0.000
P: 0.663 0.163 0.000
P: 0.163 0.337 0.000
Mg: 0.860 0.360 0.500
Mg: 0.640 0.860 0.500
Mg: 0.360 0.140 0.500
Mg: 0.140 0.640 0.500

Space group ... P4/mbm (127)

## 2
The following is a DFT calculation (PBE-GGA) of Mg2GeP2 after structural relaxation.

a = 4.157 Å, b = 4.157 Å, c = 6.421 Å
α = 71.12°, β = 71.12°, γ = 90.00°
Sites, in units of the cell vectors:
Mg: 0.750 0.250 0.500
Mg: 0.250 0.750 0.500
Ge: 0.000 0.000 0.000
P: 0.384 0.384 0.231
P: 0.616 0.616 0.769

Space group ... I4/mmm (139)

Most stable one: 1, least stable one: 2.